Run P
Density functional theory data (PBE-GGA) for a geometry-optimized Mn2ReMoAu structure.

The structure belongs to space group P4/mmm (No. 123); the cell edges are 4.639, 4.639 and 4.726 Å and the angles 90.00°, 90.00° and 90.00°. The distinct sites, in fractional coordinates, are Mn at (0.000, 0.500, 0.000), Re at (0.000, 0.000, 0.000), Mo at (0.000, 0.000, 0.500) and Au at (0.500, 0.500, 0.500).

Run Q
Density functional theory data (PBE-GGA) for a geometry-optimized Mn2ReMoAu structure.

The structure belongs to space group P4/mmm (No. 123); the cell edges are 4.581, 4.581 and 4.711 Å and the angles 90.00°, 90.00° and 90.00°. The distinct sites, in fractional coordinates, are Mn at (0.000, 0.500, 0.000), Re at (0.000, 0.000, 0.500), Mo at (0.000, 0.000, 0.000) and Au at (0.500, 0.500, 0.500).

Which is most stable? The ranking, best first, is run P, run Q.

Run P
Density functional theory data (PBE-GGA) for a geometry-optimized MnAuN2 structure.

The structure belongs to space group R-3m (No. 166, hexagonal axes); the cell edges are 3.2423, 3.2423 and 17.7055 Å and the angles 90.00°, 90.00° and 120.00°. The distinct sites, in fractional coordinates, are Mn at (0.0000, 0.0000, 0.0000), Au at (0.0000, 0.0000, 0.5000) and N at (0.0000, 0.0000, 0.1068).

Run Q
Density functional theory data (PBE-GGA) for a geometry-optimized MnAuN2 structure.

The structure belongs to space group Fm-3m (No. 225); the cell edges are 5.594, 5.594 and 5.594 Å and the angles 90.00°, 90.00° and 90.00°. The distinct sites, in fractional coordinates, are Mn at (0.000, 0.000, 0.000), Au at (0.000, 0.000, 0.500) and N at (0.250, 0.250, 0.250).

Which is most stable? The ranking, best first, is run P, run Q.